Material: AlHg2Br
Method: DFT, PBEsol
State: optimized geometry

Its density of states at the Fermi level is 0.3001 states/eV per atom. The raw total energy is -1.87 eV/atom. The value obtained for the theoretical density is 8.921 Mg/m³. For the formation energy without anion corrections, the calculation gives -101 meV/atom. Its size of the total moment is 0.00 μB per formula unit.

Unit cell a=3.8120 b=3.8120 c=7.8307 alpha=75.91 beta=75.91 gamma=60.00
Last column: nearest neighbours and their distance in Å.
Fractional coordinates of all 4 atoms:
Hg (0.2396, 0.2396, 0.2811)  3 Al 2.75, 3 Br 3.05
Hg (0.7604, 0.7604, 0.7189)  3 Al 2.75, 3 Br 3.05
Br (0.0000, 0.0000, 0.0000)  6 Hg 3.05
Al (0.5000, 0.5000, 0.5000)  6 Hg 2.75

---

Material: AlHg2Br
Method: DFT, PBEsol
State: optimized geometry

Its density of states at the Fermi level is 0.0599 states/eV per atom. The raw total energy is -1.74 eV/atom. The value obtained for the theoretical density is 8.505 Mg/m³. For the formation energy without anion corrections, the calculation gives 30 meV/atom. Its size of the total moment is 0.00 μB per formula unit.

Unit cell a=5.1961 b=5.1961 c=5.1961 alpha=60.00 beta=60.00 gamma=60.00
Last column: nearest neighbours and their distance in Å.
Fractional coordinates of all 4 atoms:
Hg (0.0000, 0.0000, 0.0000)  4 Br 3.18, 4 Hg 3.18
Hg (0.7500, 0.7500, 0.7500)  4 Hg 3.18, 4 Al 3.18
Br (0.2500, 0.2500, 0.2500)  4 Al 3.18, 4 Hg 3.18
Al (0.5000, 0.5000, 0.5000)  4 Hg 3.18, 4 Br 3.18

---

Material: AlSeIBr2
Method: DFT, PBEsol
State: optimized geometry

Its density of states at the Fermi level is 0.5477 states/eV per atom. The raw total energy is -2.29 eV/atom. The value obtained for the theoretical density is 3.750 Mg/m³. For the formation energy without anion corrections, the calculation gives 399 meV/atom. Its size of the total moment is 0.00 μB per formula unit.

Unit cell a=5.3360 b=5.7083 c=5.7083 alpha=90.00 beta=90.00 gamma=90.00
Last column: nearest neighbours and their distance in Å.
Fractional coordinates of all 5 atoms:
I (0.0000, 0.0000, 0.0000)  2 Se 2.67, 4 Br 2.85
Se (0.5000, 0.0000, 0.0000)  2 I 2.67
Br (0.0000, 0.0000, 0.5000)  2 I 2.85
Br (0.0000, 0.5000, 0.0000)  2 I 2.85
Al (0.5000, 0.5000, 0.5000)  8 Br 3.91, 4 Se 4.04

---

Material: AlTeI2Br
Method: DFT, PBEsol
State: optimized geometry

Its density of states at the Fermi level is 0.9338 states/eV per atom. The raw total energy is -2.54 eV/atom. The value obtained for the theoretical density is 5.199 Mg/m³. For the formation energy without anion corrections, the calculation gives 62 meV/atom. Its size of the total moment is 0.00 μB per formula unit.

Unit cell a=5.3236 b=5.3236 c=5.5029 alpha=90.00 beta=90.00 gamma=90.00
Last column: nearest neighbours and their distance in Å.
Fractional coordinates of all 5 atoms:
I (0.0000, 0.5000, 0.0000)  2 Al 2.66
I (0.5000, 0.0000, 0.0000)  2 Al 2.66
Te (0.0000, 0.0000, 0.5000)  2 Al 2.75
Al (0.0000, 0.0000, 0.0000)  4 I 2.66, 2 Te 2.75
Br (0.5000, 0.5000, 0.5000)  4 Te 3.76, 8 I 3.83

---

Material: AlInBr4
Method: DFT, PBEsol
State: optimized geometry

Its density of states at the Fermi level is 0.0000 states/eV per atom. The raw total energy is -3.37 eV/atom. The value obtained for the theoretical density is 3.827 Mg/m³. For the formation energy without anion corrections, the calculation gives -947 meV/atom. Its size of the total moment is 0.00 μB per formula unit.

Unit cell a=7.4642 b=8.5609 c=13.0025 alpha=105.43 beta=90.00 gamma=90.00
Last column: nearest neighbours and their distance in Å.
Fractional coordinates of all 24 atoms:
Al (0.2141, 0.7138, 0.9507)  4 Br 2.31-2.33
Al (0.7859, 0.2862, 0.0493)  4 Br 2.31-2.33
Al (0.2141, 0.2862, 0.5493)  4 Br 2.31-2.33
Al (0.7859, 0.7138, 0.4507)  4 Br 2.31-2.33
In (0.0848, 0.0000, 0.7500)  6 Br 3.20-3.41
In (0.9152, 0.0000, 0.2500)  6 Br 3.20-3.41
In (0.6072, 0.5000, 0.7500)  8 Br 3.25-3.63
In (0.3928, 0.5000, 0.2500)  8 Br 3.25-3.63
Br (0.7483, 0.7952, 0.6349)  1 Al 2.33
Br (0.2517, 0.2048, 0.3651)  1 Al 2.33
Br (0.7483, 0.2048, 0.8651)  1 Al 2.33
Br (0.2517, 0.7952, 0.1349)  1 Al 2.33
Br (0.4216, 0.8484, 0.8724)  1 Al 2.32
Br (0.5784, 0.1516, 0.1276)  1 Al 2.32
Br (0.4216, 0.1516, 0.6276)  1 Al 2.32
Br (0.5784, 0.8484, 0.3724)  1 Al 2.32
Br (0.2695, 0.4390, 0.8922)  1 Al 2.31
Br (0.7305, 0.5610, 0.1078)  1 Al 2.31
Br (0.2695, 0.5610, 0.6078)  1 Al 2.31
Br (0.7305, 0.4390, 0.3922)  1 Al 2.31
Br (0.0710, 0.7814, 0.4076)  1 Al 2.31
Br (0.9290, 0.2186, 0.5924)  1 Al 2.31
Br (0.0710, 0.2186, 0.0924)  1 Al 2.31
Br (0.9290, 0.7814, 0.9076)  1 Al 2.31

---

Material: AlIn2Br
Method: DFT, PBEsol
State: optimized geometry

Its density of states at the Fermi level is 0.5298 states/eV per atom. The raw total energy is -3.02 eV/atom. The value obtained for the theoretical density is 5.802 Mg/m³. For the formation energy without anion corrections, the calculation gives -42 meV/atom. Its size of the total moment is 0.00 μB per formula unit.

Unit cell a=3.3835 b=5.4778 c=6.1128 alpha=116.62 beta=106.07 gamma=90.00
Last column: nearest neighbours and their distance in Å.
Fractional coordinates of all 4 atoms:
Al (0.5042, 0.5042, 0.0084)  2 Br 2.80, 2 In 2.95
Br (0.2185, 0.7185, 0.4369)  2 Al 2.80
In (0.0055, 0.0055, 0.0109)  4 Al 3.22, 4 In 3.24-3.38, 4 Br 3.43-3.52
In (0.7719, 0.2719, 0.5438)  2 Al 2.95, 2 In 3.24, 4 Br 3.27